1.
Here is Li6Ca12W4N16O3 at its PBEsol-relaxed geometry from Alexandria. Energies are from meta-GGA SCAN.

Results
- spin magnetization (μB/cell) = 0.0
- crystal system = cubic
- uncorrected energy (eV/atom) = -15.568
- calculated volume (Å³/f.u.) = 545.2

Geometry as POSCAR:
```
Li6Ca12W4N16O3
1.0
11.231 0.000 0.000
-3.744 10.588 0.000
-3.744 -5.294 9.170
Ca N W Li O
24 32 8 12 6
Cartesian
-1.281 1.502 8.646
2.019 9.282 1.563
0.147 -0.700 1.913
4.906 -1.609 8.131
-3.597 -3.288 8.819
3.715 3.454 4.235
5.762 2.007 0.350
3.890 3.988 7.607
1.843 -0.100 8.295
8.078 6.796 0.524
1.163 2.552 6.498
-0.029 5.194 0.874
2.463 -2.944 6.148
-0.709 7.846 2.672
-4.452 4.351 5.459
3.035 3.685 1.039
6.206 1.442 3.546
-1.725 4.594 7.257
8.650 -0.943 3.711
4.334 6.736 5.624
-1.901 1.940 5.109
5.586 -1.840 4.935
0.591 2.350 3.022
-3.772 7.234 4.061
1.669 4.497 2.893
-3.166 2.636 7.033
-2.075 5.835 2.448
2.276 1.502 4.585
10.016 0.000 0.000
-1.467 -2.075 5.576
5.412 5.551 3.829
-1.295 3.179 1.234
4.321 -0.521 3.370
6.192 7.930 2.136
1.557 -1.498 4.107
4.401 0.000 0.000
-5.675 5.719 7.477
4.148 5.866 0.991
-3.339 3.219 3.594
-0.060 3.616 8.692
2.449 4.773 5.799
-1.931 8.910 0.478
-2.186 -0.988 8.413
0.405 6.797 4.585
0.577 -2.115 7.936
3.540 -0.797 6.277
7.172 4.306 0.756
3.684 -4.041 7.955
1.812 1.253 1.214
7.427 0.425 1.692
-5.211 0.572 8.178
5.301 2.486 5.819
-0.203 0.540 6.721
-0.315 3.796 5.063
7.284 0.256 5.341
3.429 7.780 3.351
-0.844 -1.194 7.102
-2.716 4.100 2.068
1.028 5.034 4.585
2.899 -0.260 4.585
8.148 0.000 0.000
-4.588 1.453 6.652
4.771 6.747 2.517
2.532 0.000 0.000
3.919 1.200 6.663
9.184 1.447 2.078
0.175 -0.124 4.799
-1.696 5.170 4.370
-0.175 -3.847 7.092
3.568 1.076 2.292
5.440 8.065 0.215
-3.568 -1.076 6.877
1.696 6.370 6.877
2.047 6.494 2.507
-3.919 2.771 8.955
5.791 4.218 2.292
6.551 -2.647 6.877
0.936 7.279 1.146
-0.936 0.662 3.439
4.679 2.647 2.292
2.808 1.985 8.023
-2.808 5.956 5.731
```


2.
Here is MgTa2Se at its PBEsol-relaxed geometry from Alexandria. Energies are from meta-GGA SCAN.

Results
- spin magnetization (μB/cell) = 0.0
- crystal system = orthorhombic
- calculated volume (Å³/f.u.) = 73.8
- E above lowest polymorph (eV/f.u.) = 0.00

Geometry as POSCAR:
```
MgTa2Se
1.0
3.059 0.000 -0.018
0.000 4.689 0.000
-1.497 0.000 5.151
Ta Mg Se
2 1 1
Cartesian
2.110 2.345 1.087
-0.926 0.000 5.080
0.593 0.000 2.619
-0.930 2.345 4.065
```